(1)
MgAlTe3 SCAN PBEsol geometry; M_tot = 0.00 μB/f.u.; E_tot = -24.53 eV/atom; N(E_F) = 6.5 states/eV/f.u.
1.0
5.4032 0.0000 0.0000
0.0000 5.4032 0.0000
0.0000 0.0000 5.4032
Mg Te Al
1 3 1
Direct
0.0000 0.0000 0.0000
0.0000 0.5000 0.0000
0.0000 0.0000 0.5000
0.5000 0.0000 0.0000
0.5000 0.5000 0.5000

---

(2)
MgAlTe4 SCAN PBEsol geometry; M_tot = 0.00 μB/f.u.; E_tot = -26.48 eV/atom; N(E_F) = 4.8 states/eV/f.u.
1.0
-1.8481 -5.9786 -0.9324
3.2147 -3.7205 -3.9815
3.4858 -4.7762 2.2507
Al Mg Te
1 1 4
Direct
0.7500 0.7500 0.7500
0.0000 0.0000 0.0000
0.3747 0.3747 0.3747
0.3747 0.3747 0.8758
0.8758 0.3747 0.3747
0.3747 0.8758 0.3747

---

(3)
Mg2Al2Tl SCAN PBEsol geometry; M_tot = 0.00 μB/f.u.; E_tot = -19.48 eV/atom; N(E_F) = 2.0 states/eV/f.u.; energy relative to the elements = 1.9 kcal/mol of atoms
1.0
3.1380 0.0000 0.0000
0.0000 8.2402 0.0000
0.0000 0.0000 8.2402
Mg Tl Al
4 2 4
Direct
0.5000 0.1818 0.6818
0.5000 0.6818 0.8182
0.5000 0.8182 0.3182
0.5000 0.3182 0.1818
0.0000 0.0000 0.0000
0.0000 0.5000 0.5000
0.0000 0.3860 0.8860
0.0000 0.8860 0.6140
0.0000 0.6140 0.1140
0.0000 0.1140 0.3860

---

(4)
MgAlTl SCAN PBEsol geometry; M_tot = 0.00 μB/f.u.; E_tot = -28.25 eV/atom; N(E_F) = 1.2 states/eV/f.u.; energy relative to the elements = 2.5 kcal/mol of atoms
1.0
-2.0837 2.3407 -0.7608
-0.6579 -1.5747 -2.7364
-3.2276 -3.5597 4.7257
Mg Tl Al
1 1 1
Direct
0.3421 0.3421 0.6862
0.6629 0.6629 0.3262
0.9950 0.9950 0.9876

---

(5)
Mg16Al12Tl SCAN PBEsol geometry; M_tot = 0.00 μB/f.u.; E_tot = -8.44 eV/atom; N(E_F) = 7.7 states/eV/f.u.; energy relative to the elements = 0.1 kcal/mol of atoms
1.0
9.1021 0.0000 0.0000
-3.0340 8.5816 0.0000
-3.0340 -4.2908 7.4318
Mg Al Tl
16 12 1
Direct
0.3441 0.3441 0.3441
0.7157 0.3146 0.3146
0.6559 0.0000 0.0000
0.2843 0.5989 0.5989
0.0000 0.4011 0.6854
0.5989 0.2843 0.5989
0.4011 0.6854 0.0000
0.0000 0.6559 0.0000
0.3146 0.3146 0.7157
0.6854 0.0000 0.4011
0.6854 0.4011 0.0000
0.3146 0.7157 0.3146
0.0000 0.0000 0.6559
0.4011 0.0000 0.6854
0.5989 0.5989 0.2843
0.0000 0.6854 0.4011
0.8155 0.6283 0.6283
0.1845 0.8128 0.8128
0.0000 0.1872 0.3717
0.6283 0.6283 0.8155
0.3717 0.0000 0.1872
0.1872 0.0000 0.3717
0.8128 0.8128 0.1845
0.8128 0.1845 0.8128
0.1872 0.3717 0.0000
0.6283 0.8155 0.6283
0.3717 0.1872 0.0000
0.0000 0.3717 0.1872
0.0000 0.0000 0.0000

---

(6)
MgAl3Tl SCAN PBEsol geometry; M_tot = 0.00 μB/f.u.; E_tot = -19.30 eV/atom; N(E_F) = 2.8 states/eV/f.u.; energy relative to the elements = 19.0 kcal/mol of atoms
1.0
-4.2059 -2.8632 0.4756
1.9262 -2.1271 4.2283
-2.1711 3.6594 2.8300
Mg Tl Al
1 1 3
Direct
0.0000 0.0000 0.0000
0.5000 0.5000 0.5000
0.0000 0.5000 0.0000
0.0000 0.0000 0.5000
0.5000 0.0000 0.0000

---

(7)
MgAlTl SCAN PBEsol geometry; M_tot = 0.00 μB/f.u.; E_tot = -28.29 eV/atom; N(E_F) = 0.9 states/eV/f.u.; energy relative to the elements = 1.7 kcal/mol of atoms
1.0
-2.1530 -1.9892 0.9917
0.8393 -2.8733 -3.9414
2.5720 -0.7053 4.1692
Mg Tl Al
1 1 1
Direct
0.6652 0.3333 0.6667
0.1674 0.6667 0.3333
0.1674 0.0000 0.0000

---

(8)
Mg4AlTl SCAN PBEsol geometry; M_tot = 0.00 μB/f.u.; E_tot = -16.51 eV/atom; N(E_F) = 2.3 states/eV/f.u.; energy relative to the elements = 3.7 kcal/mol of atoms
1.0
-5.2652 0.4410 2.3401
-1.2717 -2.9173 4.8234
-0.7181 2.8326 4.9854
Al Mg Tl
1 4 1
Direct
0.0000 0.0000 0.0000
0.3746 0.3746 0.3746
0.3746 0.3746 0.8761
0.8761 0.3746 0.3746
0.3746 0.8761 0.3746
0.7500 0.7500 0.7500

---

> What is the formula in the sixth record?

MgAl3Tl

---

> What is the formula in the seventh record?

MgAlTl